DFT (PBE with a Hubbard U) results for crystalline HfNiPdO4 at its relaxed geometry.

Geometry as POSCAR:
```
HfNiPdO4
1.0
-5.152 -1.477 2.191
5.239 -2.878 2.729
-1.096 5.886 1.390
Hf O Pd Ni
2 8 2 2
direct
0.500 0.000 0.000
0.500 0.000 0.500
0.234 0.940 0.220
0.715 0.430 0.700
0.706 0.940 0.220
0.285 0.570 0.770
0.766 0.060 0.780
0.715 0.430 0.230
0.294 0.060 0.780
0.285 0.570 0.300
0.000 0.500 0.500
0.500 0.500 0.500
0.845 0.691 0.095
0.155 0.309 0.905
```

Output
The energy is -7.0564 eV/atom. The space group is Imma, No. 74.